No. 1
YNpOs | the Open Quantum Materials Database | PBE | relaxed; space-group type = F-43m; energy of formation = 195 meV/atom; energy = -9.959 eV per atom
1.0
-0.0494 -3.5450 3.0468
-4.0701 -1.6419 1.6098
-1.5151 -4.2140 -1.3415
Np Os Y
1 1 1
Cartesian
-1.4086 -2.3503 0.8288
0.0000 0.0000 0.0000
-4.2259 -7.0507 2.4864

***

No. 2
HfSnIr | the Open Quantum Materials Database | PBE | relaxed; space-group type = P-62m; energy = -8.062 eV per atom
1.0
6.8281 0.0000 0.0000
-3.4140 5.9133 0.0000
0.0000 0.0000 4.2762
Ir Sn Hf
3 3 3
Cartesian
2.5779 4.4650 0.0000
-0.8362 1.4483 0.0000
1.6724 0.0000 0.0000
0.0000 3.9422 0.0000
3.4140 1.9711 0.0000
0.0000 0.0000 2.1381
-1.8996 3.2902 2.1381
3.7992 0.0000 2.1381
1.5144 2.6231 2.1381

***

No. 3
TlZnTeF | the Open Quantum Materials Database | PBE | relaxed; space-group type = Pbam; energy = -3.167 eV per atom
1.0
-2.1536 6.1872 -8.5317
-10.3309 -15.0178 -8.2832
-3.5956 1.4092 1.9296
F Tl Zn Te
8 8 8 8
Cartesian
-9.3115 -6.2958 -12.7535
-0.3227 0.6926 -1.1071
-4.0297 0.8787 -8.1508
-12.1618 -9.5232 -15.7078
-3.1729 -2.5348 -4.0614
-8.4547 -9.7093 -8.6641
-6.0279 -5.2655 -7.3873
-6.4565 -3.5651 -9.4276
-13.3082 -9.1427 -13.2925
-9.5795 -8.9157 -6.5101
-4.7088 -0.5600 -3.5361
-8.1905 -1.4967 -9.3399
-11.3713 -6.8614 -11.3493
-6.5006 1.4942 -8.3753
-2.7719 1.7213 -1.5929
-7.8896 -5.9247 -5.5454
-3.8947 -4.2999 -4.1173
-9.5075 -10.5237 -10.0310
-2.9770 1.6931 -6.7840
-5.3755 -3.3439 -7.5748
-9.5513 -13.6960 -7.7958
-8.5897 -4.5307 -12.6976
-2.9332 4.8654 -9.0191
-7.1090 -5.4868 -9.2401
-4.0539 2.7693 -4.7472
-6.1008 -4.8651 -2.9859
-9.5784 -5.9055 -8.7064
-6.5017 -1.5159 -6.1789
-5.4706 4.6419 -8.7547
-9.9793 -2.5563 -11.8995
-10.6095 -12.0633 -6.1307
-12.0261 -10.1907 -10.1381